1.
A plane-wave DFT calculation with PBE was carried out for crystalline Tm4ZnHgC2 at its relaxed geometry.

Results
total DFT energy (no corrections) = -5.081 eV per atom

a b c (Å): 3.5412 3.5412 15.2298
angles (deg): 90.00 90.00 120.00
Space group P-6m2 (No. 187)
Unique sites:
1 Tm 0.0000 0.0000 0.1577 x2
2 Tm 0.6667 0.3333 0.3325 x2
3 Zn 0.6667 0.3333 0.0000 x1
4 Hg 0.0000 0.0000 0.5000 x1
5 C 0.3333 0.6667 0.2462 x2

2.
A plane-wave DFT calculation with PBE was carried out for crystalline Tm3ZrHg2C2 at its relaxed geometry.

Results
total DFT energy (no corrections) = -5.575 eV per atom

a b c (Å): 3.4846 3.4846 15.4250
angles (deg): 90.00 90.00 120.00
Space group P3m1 (No. 156)
Unique sites:
1 Tm 0.0000 0.0000 0.0000 x1
2 Tm 0.0000 0.0000 0.3286 x1
3 Tm 0.6667 0.3333 0.8258 x1
4 Zr 0.6667 0.3333 0.4968 x1
5 Hg 0.0000 0.0000 0.6557 x1
6 Hg 0.6667 0.3333 0.1662 x1
7 C 0.3333 0.6667 0.4236 x1
8 C 0.3333 0.6667 0.9132 x1

3.
A plane-wave DFT calculation with PBE was carried out for crystalline Zr4ZnHgC2 at its relaxed geometry.

Results
total DFT energy (no corrections) = -7.317 eV per atom

a b c (Å): 3.3400 3.3400 14.7465
angles (deg): 90.00 90.00 120.00
Space group P-6m2 (No. 187)
Unique sites:
1 Zr 0.0000 0.0000 0.1590 x2
2 Zr 0.3333 0.6667 0.3308 x2
3 Zn 0.3333 0.6667 0.0000 x1
4 Hg 0.0000 0.0000 0.5000 x1
5 C 0.6667 0.3333 0.2457 x2

4.
A plane-wave DFT calculation with PBE was carried out for crystalline HoC at its relaxed geometry.

Results
total DFT energy (no corrections) = -6.460 eV per atom

a b c (Å): 5.400 5.400 5.400
angles (deg): 90.00 90.00 90.00
Space group F-43m (No. 216)
Unique sites:
1 Ho 0.000 0.000 0.000 x4
2 C 0.250 0.250 0.250 x4

5.
A plane-wave DFT calculation with PBE was carried out for crystalline Ho15C19 at its relaxed geometry.

Results
total DFT energy (no corrections) = -7.502 eV per atom

a b c (Å): 8.108 8.108 15.370
angles (deg): 90.00 90.00 90.00
Space group P4/mnc (No. 128)
Unique sites:
1 Ho 0.000 0.000 0.000 x2
2 Ho 0.000 0.000 0.331 x4
3 Ho 0.093 0.297 0.500 x8
4 Ho 0.098 0.715 0.150 x16
5 C 0.000 0.000 0.163 x4
6 C 0.000 0.000 0.500 x2
7 C 0.096 0.303 0.329 x16
8 C 0.102 0.697 0.000 x8
9 C 0.151 0.349 0.250 x8

6.
A plane-wave DFT calculation with PBE was carried out for crystalline Ho2C3 at its relaxed geometry.

Results
total DFT energy (no corrections) = -7.634 eV per atom

a b c (Å): 8.169 8.169 8.169
angles (deg): 90.00 90.00 90.00
Space group I-43d (No. 220)
Unique sites:
1 Ho 0.050 0.450 0.550 x16
2 C 0.000 0.250 0.793 x24

7.
A plane-wave DFT calculation with PBE was carried out for crystalline Ho2C at its relaxed geometry.

Results
total DFT energy (no corrections) = -6.430 eV per atom

a b c (Å): 3.5695 3.5695 18.2055
angles (deg): 90.00 90.00 120.00
Space group R-3m (No. 166, hexagonal axes)
Unique sites:
1 Ho 0.0000 0.0000 0.2403 x6
2 C 0.0000 0.0000 0.5000 x3

8.
A plane-wave DFT calculation with PBE was carried out for crystalline Ho5C at its relaxed geometry.

Results
total DFT energy (no corrections) = -3.771 eV per atom

a b c (Å): 6.1196 6.1196 5.9102
angles (deg): 90.00 90.00 120.00
Space group P6/mmm (No. 191)
Unique sites:
1 Ho 0.0000 0.5000 0.0000 x3
2 Ho 0.3333 0.6667 0.5000 x2
3 C 0.0000 0.0000 0.5000 x1

9.
A plane-wave DFT calculation with PBE was carried out for crystalline La2Ho2CI5 at its relaxed geometry.

Results
total DFT energy (no corrections) = -4.728 eV per atom

a b c (Å): 19.626 4.083 8.999
angles (deg): 90.00 102.43 90.00
Space group C2/m (No. 12)
Unique sites:
1 La 0.001 0.000 0.303 x4
2 Ho 0.125 0.500 0.562 x4
3 C 0.000 0.500 0.500 x2
4 I 0.000 0.500 0.000 x2
5 I 0.168 0.000 0.820 x4
6 I 0.171 0.000 0.344 x4

10.
A plane-wave DFT calculation with PBE was carried out for crystalline HoNbC2I2 at its relaxed geometry.

Results
total DFT energy (no corrections) = -6.503 eV per atom

a b c (Å): 7.090 3.672 10.820
angles (deg): 90.00 93.63 90.00
Space group Cm (No. 8)
Unique sites:
1 Ho 0.000 0.000 0.000 x2
2 Nb 0.203 0.500 0.772 x2
3 C 0.281 0.000 0.905 x2
4 C 0.441 0.000 0.841 x2
5 I 0.038 0.000 0.582 x2
6 I 0.183 0.500 0.201 x2

11.
A plane-wave DFT calculation with PBE was carried out for crystalline Nd2Ho2CI5 at its relaxed geometry.

Results
total DFT energy (no corrections) = -4.672 eV per atom
energy relative to the lowest polymorph listed for this composition = 0.0 meV per atom

a b c (Å): 19.347 4.038 8.840
angles (deg): 90.00 102.49 90.00
Space group C2/m (No. 12)
Unique sites:
1 Nd 0.001 0.000 0.305 x4
2 Ho 0.127 0.500 0.563 x4
3 C 0.000 0.500 0.500 x2
4 I 0.000 0.500 0.000 x2
5 I 0.166 0.000 0.827 x4
6 I 0.171 0.000 0.338 x4

12.
A plane-wave DFT calculation with PBE was carried out for crystalline NdHoCI at its relaxed geometry.

Results
total DFT energy (no corrections) = -5.746 eV per atom

a b c (Å): 3.8113 3.8113 22.7852
angles (deg): 90.00 90.00 120.00
Space group R3m (No. 160, hexagonal axes)
Unique sites:
1 Nd 0.0000 0.0000 0.0000 x3
2 Ho 0.0000 0.0000 0.5529 x3
3 C 0.0000 0.0000 0.2704 x3
4 I 0.0000 0.0000 0.7802 x3

13.
A plane-wave DFT calculation with PBE was carried out for crystalline Nd2Ho2CI5 at its relaxed geometry.

Results
total DFT energy (no corrections) = -4.658 eV per atom
energy relative to the lowest polymorph listed for this composition = 14.2 meV per atom

a b c (Å): 19.000 3.992 8.728
angles (deg): 90.00 103.07 90.00
Space group C2/m (No. 12)
Unique sites:
1 Nd 0.136 0.000 0.068 x4
2 Ho 0.000 0.500 0.186 x4
3 C 0.000 0.000 0.000 x2
4 I 0.000 0.000 0.500 x2
5 I 0.161 0.500 0.352 x4
6 I 0.166 0.500 0.808 x4

14.
A plane-wave DFT calculation with PBE was carried out for crystalline PrHoCI at its relaxed geometry.

Results
total DFT energy (no corrections) = -5.740 eV per atom

a b c (Å): 3.8175 3.8175 22.9424
angles (deg): 90.00 90.00 120.00
Space group R3m (No. 160, hexagonal axes)
Unique sites:
1 Pr 0.0000 0.0000 0.0000 x3
2 Ho 0.0000 0.0000 0.5525 x3
3 C 0.0000 0.0000 0.2692 x3
4 I 0.0000 0.0000 0.7805 x3

15.
A plane-wave DFT calculation with PBE was carried out for crystalline Pr2Ho2CI5 at its relaxed geometry.

Results
total DFT energy (no corrections) = -4.655 eV per atom
energy relative to the lowest polymorph listed for this composition = 16.6 meV per atom

a b c (Å): 19.065 4.003 8.774
angles (deg): 90.00 103.19 90.00
Space group C2/m (No. 12)
Unique sites:
1 Pr 0.137 0.000 0.069 x4
2 Ho 0.000 0.500 0.185 x4
3 C 0.000 0.000 0.000 x2
4 I 0.000 0.000 0.500 x2
5 I 0.161 0.500 0.354 x4
6 I 0.166 0.500 0.807 x4

16.
A plane-wave DFT calculation with PBE was carried out for crystalline Pr2Ho2CI5 at its relaxed geometry.

Results
total DFT energy (no corrections) = -4.672 eV per atom
energy relative to the lowest polymorph listed for this composition = 0.0 meV per atom

a b c (Å): 19.378 4.055 8.902
angles (deg): 90.00 102.49 90.00
Space group C2/m (No. 12)
Unique sites:
1 Pr 0.001 0.000 0.304 x4
2 Ho 0.127 0.500 0.563 x4
3 C 0.000 0.500 0.500 x2
4 I 0.000 0.500 0.000 x2
5 I 0.167 0.000 0.826 x4
6 I 0.172 0.000 0.341 x4

17.
A plane-wave DFT calculation with PBE was carried out for crystalline SmHoCI at its relaxed geometry.

Results
total DFT energy (no corrections) = -5.746 eV per atom

a b c (Å): 3.7988 3.7988 22.5747
angles (deg): 90.00 90.00 120.00
Space group R3m (No. 160, hexagonal axes)
Unique sites:
1 Sm 0.0000 0.0000 0.0000 x3
2 Ho 0.0000 0.0000 0.4467 x3
3 C 0.0000 0.0000 0.7279 x3
4 I 0.0000 0.0000 0.2217 x3

18.
A plane-wave DFT calculation with PBE was carried out for crystalline SmHoC2I2 at its relaxed geometry.

Results
total DFT energy (no corrections) = -5.989 eV per atom

a b c (Å): 7.384 3.938 11.355
angles (deg): 90.00 93.22 90.00
Space group Cm (No. 8)
Unique sites:
1 Sm 0.000 0.000 0.000 x2
2 Ho 0.209 0.500 0.754 x2
3 C 0.278 0.000 0.899 x2
4 C 0.432 0.000 0.844 x2
5 I 0.032 0.000 0.571 x2
6 I 0.180 0.500 0.191 x2

19.
A plane-wave DFT calculation with PBE was carried out for crystalline Ho2Tm2CI5 at its relaxed geometry.

Results
total DFT energy (no corrections) = -4.573 eV per atom
energy relative to the lowest polymorph listed for this composition = 4.5 meV per atom

a b c (Å): 19.286 3.917 8.498
angles (deg): 90.00 102.41 90.00
Space group C2/m (No. 12)
Unique sites:
1 Ho 0.126 0.000 0.062 x4
2 Tm 0.000 0.500 0.187 x4
3 C 0.000 0.000 0.000 x2
4 I 0.000 0.000 0.500 x2
5 I 0.160 0.500 0.340 x4
6 I 0.163 0.500 0.819 x4

20.
A plane-wave DFT calculation with PBE was carried out for crystalline HoTmC2I2 at its relaxed geometry.

Results
total DFT energy (no corrections) = -5.939 eV per atom

a b c (Å): 7.256 3.858 11.157
angles (deg): 90.00 93.45 90.00
Space group Cm (No. 8)
Unique sites:
1 Ho 0.000 0.000 0.000 x2
2 Tm 0.209 0.500 0.758 x2
3 C 0.277 0.000 0.906 x2
4 C 0.433 0.000 0.849 x2
5 I 0.031 0.000 0.571 x2
6 I 0.179 0.500 0.189 x2